{
  "formula": "Ce2Dy3Er6Th",
  "functional": "GGA-PBE",
  "state": "optimized geometry",
  "lattice_angstrom": [[6.091, -0.001, -0.003], [-3.044, 5.275, -0.003], [-1.010, -1.749, 11.443]],
  "species": ["Er", "Er", "Er", "Er", "Er", "Er", "Ce", "Ce", "Dy", "Dy", "Dy", "Th"],
  "fractional_positions": [[0.917, 0.585, 0.753], [0.415, 0.083, 0.247], [0.083, 0.415, 0.247], [0.585, 0.917, 0.753], [0.751, 0.751, 0.247], [0.249, 0.249, 0.753], [0.333, 0.667, 0.000], [0.667, 0.333, 0.000], [0.500, 0.500, 0.500], [0.833, 0.167, 0.500], [0.167, 0.833, 0.500], [0.000, 0.000, 0.000]],
  "ef_kcal_per_mol_atoms": 0.9,
  "energy_ev_per_cell": -60.0,
  "dos_at_fermi_per_ev_cell": 21.3
}